# La2ZrSb4Pd3 | Alexandria via LeMat-Bulk | PBE | relaxed
data_La2ZrSb4Pd3
_chemical_formula_sum 'La2 Zr1 Sb4 Pd3'
_symmetry_space_group_name_H-M 'P 1'
_symmetry_Int_Tables_number 1
_symmetry_space_group_name_Hall 'P 1'
_cell_length_a 4.582
_cell_length_b 4.582
_cell_length_c 11.599
_cell_angle_alpha 90.00
_cell_angle_beta 90.00
_cell_angle_gamma 90.00
loop_
_atom_site_label
_atom_site_fract_x
_atom_site_fract_y
_atom_site_fract_z
La1 0.500 0.000 0.235
La2 0.000 0.500 0.765
Zr1 0.500 0.500 0.500
Sb1 0.500 0.500 0.000
Sb2 0.000 0.000 0.000
Sb3 0.500 0.000 0.645
Sb4 0.000 0.500 0.355
Pd1 0.000 0.000 0.500
Pd2 0.500 0.000 0.872
Pd3 0.000 0.500 0.128
# * calculated volume: 243.5 Å³ per cell
# * N(E_F): 8.04 states/eV per cell
# * VASP energy: -58.7 eV for the cell shown

# LaSc2Pd3 | Alexandria via LeMat-Bulk | PBE | relaxed
data_LaSc2Pd3
_chemical_formula_sum 'La1 Sc2 Pd3'
_symmetry_space_group_name_H-M 'P 1'
_symmetry_Int_Tables_number 1
_symmetry_space_group_name_Hall 'P 1'
_cell_length_a 3.344
_cell_length_b 3.344
_cell_length_c 10.755
_cell_angle_alpha 90.00
_cell_angle_beta 90.00
_cell_angle_gamma 90.00
loop_
_atom_site_label
_atom_site_fract_x
_atom_site_fract_y
_atom_site_fract_z
La1 0.500 0.500 0.500
Sc1 0.500 0.500 0.844
Sc2 0.500 0.500 0.156
Pd1 0.000 0.000 0.000
Pd2 0.000 0.000 0.706
Pd3 0.000 0.000 0.294
# * calculated volume: 120.3 Å³ per cell
# * N(E_F): 3.63 states/eV per cell
# * E_form: -0.8421 eV per atom

# La2ScPd2 | Alexandria via LeMat-Bulk | PBE | relaxed
data_La2ScPd2
_chemical_formula_sum 'La4 Sc2 Pd4'
_symmetry_space_group_name_H-M 'P 1'
_symmetry_Int_Tables_number 1
_symmetry_space_group_name_Hall 'P 1'
_cell_length_a 7.814
_cell_length_b 7.814
_cell_length_c 4.151
_cell_angle_alpha 90.00
_cell_angle_beta 90.00
_cell_angle_gamma 90.00
loop_
_atom_site_label
_atom_site_fract_x
_atom_site_fract_y
_atom_site_fract_z
Sc1 0.000 0.000 0.000
Sc2 0.500 0.500 0.000
Pd1 0.367 0.867 0.000
Pd2 0.867 0.633 0.000
Pd3 0.633 0.133 0.000
Pd4 0.133 0.367 0.000
La1 0.173 0.673 0.500
La2 0.673 0.827 0.500
La3 0.827 0.327 0.500
La4 0.327 0.173 0.500
# * energy relative to the lowest polymorph listed for this composition: 0 meV/atom
# * calculated volume: 253.5 Å³ per cell
# * N(E_F): 13.94 states/eV per cell
# * E_form: -0.6582 eV per atom

# LaSc2Pd | Alexandria via LeMat-Bulk | PBE | relaxed
data_LaSc2Pd
_chemical_formula_sum 'La1 Sc2 Pd1'
_symmetry_space_group_name_H-M 'P 1'
_symmetry_Int_Tables_number 1
_symmetry_space_group_name_Hall 'P 1'
_cell_length_a 3.403
_cell_length_b 3.403
_cell_length_c 8.269
_cell_angle_alpha 90.00
_cell_angle_beta 90.00
_cell_angle_gamma 90.00
loop_
_atom_site_label
_atom_site_fract_x
_atom_site_fract_y
_atom_site_fract_z
Sc1 0.000 0.000 0.811
Sc2 0.000 0.000 0.189
Pd1 0.500 0.500 0.000
La1 0.500 0.500 0.500
# * calculated volume: 95.7 Å³ per cell
# * N(E_F): 5.00 states/eV per cell
# * E_form: -0.4038 eV per atom

# LaSc2Pd2 | Alexandria via LeMat-Bulk | PBE | relaxed
data_LaSc2Pd2
_chemical_formula_sum 'La1 Sc2 Pd2'
_symmetry_space_group_name_H-M 'P 1'
_symmetry_Int_Tables_number 1
_symmetry_space_group_name_Hall 'P 1'
_cell_length_a 4.927
_cell_length_b 4.927
_cell_length_c 6.148
_cell_angle_alpha 66.38
_cell_angle_beta 66.38
_cell_angle_gamma 90.00
loop_
_atom_site_label
_atom_site_fract_x
_atom_site_fract_y
_atom_site_fract_z
Sc1 0.346 0.346 0.308
Sc2 0.654 0.654 0.692
Pd1 0.750 0.250 0.500
Pd2 0.250 0.750 0.500
La1 0.000 0.000 0.000
# * energy relative to the lowest polymorph listed for this composition: 192 meV/atom
# * calculated volume: 123.0 Å³ per cell
# * N(E_F): 5.59 states/eV per cell
# * E_form: -0.4631 eV per atom

# La2ScPd | Alexandria via LeMat-Bulk | PBE | relaxed
data_La2ScPd
_chemical_formula_sum 'La2 Sc1 Pd1'
_symmetry_space_group_name_H-M 'P 1'
_symmetry_Int_Tables_number 1
_symmetry_space_group_name_Hall 'P 1'
_cell_length_a 3.815
_cell_length_b 3.815
_cell_length_c 7.667
_cell_angle_alpha 90.00
_cell_angle_beta 90.00
_cell_angle_gamma 90.00
loop_
_atom_site_label
_atom_site_fract_x
_atom_site_fract_y
_atom_site_fract_z
Sc1 0.500 0.500 0.500
Pd1 0.500 0.500 0.000
La1 0.000 0.000 0.780
La2 0.000 0.000 0.220
# * energy relative to the lowest polymorph listed for this composition: 0 meV/atom
# * calculated volume: 111.6 Å³ per cell
# * N(E_F): 3.95 states/eV per cell
# * E_form: -0.3160 eV per atom

# LaSc2Pd2 | Alexandria via LeMat-Bulk | PBE | relaxed
data_LaSc2Pd2
_chemical_formula_sum 'La1 Sc2 Pd2'
_symmetry_space_group_name_H-M 'P 1'
_symmetry_Int_Tables_number 1
_symmetry_space_group_name_Hall 'P 1'
_cell_length_a 4.459
_cell_length_b 4.459
_cell_length_c 6.674
_cell_angle_alpha 70.49
_cell_angle_beta 70.49
_cell_angle_gamma 90.00
loop_
_atom_site_label
_atom_site_fract_x
_atom_site_fract_y
_atom_site_fract_z
Sc1 0.750 0.250 0.500
Sc2 0.250 0.750 0.500
Pd1 0.385 0.385 0.231
Pd2 0.615 0.615 0.769
La1 0.000 0.000 0.000
# * energy relative to the lowest polymorph listed for this composition: 0 meV/atom
# * calculated volume: 117.0 Å³ per cell
# * N(E_F): 10.04 states/eV per cell
# * E_form: -0.6547 eV per atom

# LaSc4Pd5 | Alexandria via LeMat-Bulk | PBE | relaxed
data_LaSc4Pd5
_chemical_formula_sum 'La1 Sc4 Pd5'
_symmetry_space_group_name_H-M 'P 1'
_symmetry_Int_Tables_number 1
_symmetry_space_group_name_Hall 'P 1'
_cell_length_a 3.334
_cell_length_b 3.334
_cell_length_c 17.346
_cell_angle_alpha 90.00
_cell_angle_beta 90.00
_cell_angle_gamma 90.00
loop_
_atom_site_label
_atom_site_fract_x
_atom_site_fract_y
_atom_site_fract_z
La1 0.000 0.000 0.000
Sc1 0.000 0.000 0.214
Sc2 0.000 0.000 0.405
Sc3 0.000 0.000 0.595
Sc4 0.000 0.000 0.786
Pd1 0.500 0.500 0.128
Pd2 0.500 0.500 0.312
Pd3 0.500 0.500 0.500
Pd4 0.500 0.500 0.688
Pd5 0.500 0.500 0.872
# * calculated volume: 192.8 Å³ per cell
# * N(E_F): 7.04 states/eV per cell
# * E_form: -0.8618 eV per atom

# La2ScPd | Alexandria via LeMat-Bulk | PBE | relaxed
data_La2ScPd
_chemical_formula_sum 'La2 Sc1 Pd1'
_symmetry_space_group_name_H-M 'P 1'
_symmetry_Int_Tables_number 1
_symmetry_space_group_name_Hall 'P 1'
_cell_length_a 3.450
_cell_length_b 3.450
_cell_length_c 11.004
_cell_angle_alpha 80.98
_cell_angle_beta 80.98
_cell_angle_gamma 60.00
loop_
_atom_site_label
_atom_site_fract_x
_atom_site_fract_y
_atom_site_fract_z
Sc1 0.000 0.000 0.000
Pd1 0.500 0.500 0.500
La1 0.097 0.097 0.710
La2 0.903 0.903 0.290
# * energy relative to the lowest polymorph listed for this composition: 324 meV/atom
# * calculated volume: 111.5 Å³ per cell
# * N(E_F): 5.87 states/eV per cell
# * E_form: 0.0083 eV per atom

# LaSc2Pd2 | Alexandria via LeMat-Bulk | PBE | relaxed
data_LaSc2Pd2
_chemical_formula_sum 'La2 Sc4 Pd4'
_symmetry_space_group_name_H-M 'P 1'
_symmetry_Int_Tables_number 1
_symmetry_space_group_name_Hall 'P 1'
_cell_length_a 8.254
_cell_length_b 8.254
_cell_length_c 3.097
_cell_angle_alpha 90.00
_cell_angle_beta 90.00
_cell_angle_gamma 90.00
loop_
_atom_site_label
_atom_site_fract_x
_atom_site_fract_y
_atom_site_fract_z
Sc1 0.366 0.866 0.000
Sc2 0.866 0.634 0.000
Sc3 0.634 0.134 0.000
Sc4 0.134 0.366 0.000
Pd1 0.158 0.658 0.500
Pd2 0.658 0.842 0.500
Pd3 0.842 0.342 0.500
Pd4 0.342 0.158 0.500
La1 0.000 0.000 0.000
La2 0.500 0.500 0.000
# * energy relative to the lowest polymorph listed for this composition: 75 meV/atom
# * calculated volume: 211.0 Å³ per cell
# * N(E_F): 13.56 states/eV per cell
# * E_form: -0.5800 eV per atom

# LaScPd | Alexandria via LeMat-Bulk | PBE | relaxed
data_LaScPd
_chemical_formula_sum 'La1 Sc1 Pd1'
_symmetry_space_group_name_H-M 'P 1'
_symmetry_Int_Tables_number 1
_symmetry_space_group_name_Hall 'P 1'
_cell_length_a 3.475
_cell_length_b 3.475
_cell_length_c 6.625
_cell_angle_alpha 105.21
_cell_angle_beta 105.21
_cell_angle_gamma 90.00
loop_
_atom_site_label
_atom_site_fract_x
_atom_site_fract_y
_atom_site_fract_z
Sc1 0.294 0.294 0.589
Pd1 0.690 0.690 0.379
La1 0.016 0.016 0.032
# * energy relative to the lowest polymorph listed for this composition: 100 meV/atom
# * calculated volume: 74.3 Å³ per cell
# * N(E_F): 3.31 states/eV per cell
# * E_form: -0.5024 eV per atom

# La2Sc2Pd | Alexandria via LeMat-Bulk | PBE | relaxed
data_La2Sc2Pd
_chemical_formula_sum 'La4 Sc4 Pd2'
_symmetry_space_group_name_H-M 'P 1'
_symmetry_Int_Tables_number 1
_symmetry_space_group_name_Hall 'P 1'
_cell_length_a 7.044
_cell_length_b 7.044
_cell_length_c 5.538
_cell_angle_alpha 90.00
_cell_angle_beta 90.00
_cell_angle_gamma 90.00
loop_
_atom_site_label
_atom_site_fract_x
_atom_site_fract_y
_atom_site_fract_z
Sc1 0.345 0.845 0.000
Sc2 0.845 0.655 0.000
Sc3 0.655 0.155 0.000
Sc4 0.155 0.345 0.000
Pd1 0.000 0.000 0.000
Pd2 0.500 0.500 0.000
La1 0.166 0.666 0.500
La2 0.666 0.834 0.500
La3 0.834 0.334 0.500
La4 0.334 0.166 0.500
# * calculated volume: 274.8 Å³ per cell
# * N(E_F): 12.93 states/eV per cell
# * E_form: -0.2189 eV per atom